Cs2AgSnCl6: relaxed, PBE.

a b c (Å): 7.5578 7.5578 7.5578
angles (deg): 120.06 120.06 89.90
Closest atoms and distances in Å follow each position.
Atoms (fractional coordinates):
Cs 0.2500 0.7500 0.5000  12 Cl 3.74-3.82
Cs 0.7500 0.2500 0.5000  12 Cl 3.74-3.82
Ag 0.0000 0.0000 0.0000  6 Cl 2.69-2.70
Sn 0.5000 0.5000 0.0000  6 Cl 2.65
Cl 0.2467 0.7431 0.9898  1 Sn 2.65, 1 Ag 2.69
Cl 0.2525 0.2525 0.0000  1 Sn 2.65, 1 Ag 2.70
Cl 0.2569 0.2467 0.5037  1 Sn 2.65, 1 Ag 2.69
Cl 0.7431 0.7533 0.4963  1 Sn 2.65, 1 Ag 2.69
Cl 0.7475 0.7475 0.0000  1 Sn 2.65, 1 Ag 2.70
Cl 0.7533 0.2569 0.0102  1 Sn 2.65, 1 Ag 2.69

Calculated values
crystal system	tetragonal
ρ	3.839	g cm⁻³
total energy	-3.289	eV per atom